1.
First-principles (PBE) data for SbRh2 after structural relaxation, as listed in Alexandria via LeMat-Bulk.

Cell: 3.085 7.584 4.310 Å, 90.00 90.00 90.00°
Space group Pnnm (No. 58)
Symmetry-distinct sites (fractional):
Sb1 0.000 0.000 0.000 [2 per cell]
Rh1 0.231 0.335 0.000 [4 per cell]

Calculated values
**Formation energy (no corrections)**: -0.169 eV/atom
**Mass density**: 10787 kg/m3
**Total DFT energy (no corrections)**: -6.444 eV/atom
**Total moment**: 0.00 μB per atom

---

2.
First-principles (PBE) data for SbRh after structural relaxation, as listed in Alexandria via LeMat-Bulk.

Cell: 8.914 3.721 7.486 Å, 90.00 109.50 90.00°
Space group Cm (No. 8)
Symmetry-distinct sites (fractional):
Sb1 0.000 0.000 0.000 [2 per cell]
Sb2 0.123 0.500 0.670 [2 per cell]
Sb3 0.321 0.500 0.381 [2 per cell]
Rh1 0.111 0.000 0.376 [2 per cell]
Rh2 0.319 0.000 0.129 [2 per cell]
Rh3 0.351 0.000 0.751 [2 per cell]

Calculated values
**Formation energy (no corrections)**: -0.341 eV/atom
**Mass density**: 9564 kg/m3
**Total DFT energy (no corrections)**: -6.078 eV/atom
**Total moment**: 0.00 μB per atom

---

3.
First-principles (PBE) data for SbRh2 after structural relaxation, as listed in Alexandria via LeMat-Bulk.

Cell: 3.165 3.165 21.043 Å, 90.00 90.00 90.00°
Space group I4_1/amd (No. 141, origin choice 2)
Symmetry-distinct sites (fractional):
Sb1 0.000 0.250 0.375 [4 per cell]
Rh1 0.000 0.250 0.805 [8 per cell]

Calculated values
**Formation energy (no corrections)**: -0.003 eV/atom
**Mass density**: 10320 kg/m3
**Total DFT energy (no corrections)**: -6.278 eV/atom
**Total moment**: 0.00 μB per atom

---

4.
First-principles (PBE) data for SbRh after structural relaxation, as listed in Alexandria via LeMat-Bulk.

Cell: 11.794 11.794 3.463 Å, 90.00 90.00 90.00°
Space group P4/m (No. 83)
Symmetry-distinct sites (fractional):
Sb1 0.081 0.327 0.000 [4 per cell]
Sb2 0.251 0.626 0.500 [4 per cell]
Rh1 0.106 0.557 0.000 [4 per cell]
Rh2 0.222 0.403 0.500 [4 per cell]

Calculated values
**Formation energy (no corrections)**: -0.120 eV/atom
**Mass density**: 6196 kg/m3
**Total DFT energy (no corrections)**: -5.857 eV/atom
**Total moment**: 0.00 μB per atom

---

5.
First-principles (PBE) data for SbRh after structural relaxation, as listed in Alexandria via LeMat-Bulk.

Cell: 3.696 3.696 5.459 Å, 90.00 90.00 90.00°
Space group P4/nmm (No. 129, origin choice 2)
Symmetry-distinct sites (fractional):
Sb1 0.250 0.250 0.187 [2 per cell]
Rh1 0.250 0.250 0.673 [2 per cell]

Calculated values
**Formation energy (no corrections)**: -0.392 eV/atom
**Mass density**: 10004 kg/m3
**Total DFT energy (no corrections)**: -6.129 eV/atom
**Total moment**: 0.00 μB per atom

---

6.
First-principles (PBE) data for SbRh after structural relaxation, as listed in Alexandria via LeMat-Bulk.

Cell: 3.839 13.957 5.420 Å, 90.00 90.00 90.00°
Space group Pmmn (No. 59, origin choice 2)
Symmetry-distinct sites (fractional):
Sb1 0.250 0.100 0.242 [4 per cell]
Sb2 0.250 0.750 0.338 [2 per cell]
Rh1 0.250 0.250 0.969 [2 per cell]
Rh2 0.250 0.575 0.448 [4 per cell]

Calculated values
**Formation energy (no corrections)**: -0.092 eV/atom
**Mass density**: 7708 kg/m3
**Total DFT energy (no corrections)**: -5.829 eV/atom
**Total moment**: 0.00 μB per atom

---

7.
First-principles (PBE) data for SbRh after structural relaxation, as listed in Alexandria via LeMat-Bulk.

Cell: 9.9494 9.9494 3.9498 Å, 90.00 90.00 120.00°
Space group P6_3/m (No. 176)
Symmetry-distinct sites (fractional):
Sb1 0.0918 0.7180 0.2500 [6 per cell]
Rh1 0.0681 0.4427 0.2500 [6 per cell]

Calculated values
**Formation energy (no corrections)**: -0.127 eV/atom
**Mass density**: 6611 kg/m3
**Total DFT energy (no corrections)**: -5.864 eV/atom
**Total moment**: 0.00 μB per atom

---

8.
First-principles (PBE) data for SbRh2 after structural relaxation, as listed in Alexandria via LeMat-Bulk.

Cell: 10.601 3.089 6.648 Å, 90.00 112.13 90.00°
Space group C2/m (No. 12)
Symmetry-distinct sites (fractional):
Sb1 0.181 0.000 0.176 [4 per cell]
Rh1 0.055 0.500 0.830 [4 per cell]
Rh2 0.135 0.000 0.535 [4 per cell]

Calculated values
**Formation energy (no corrections)**: -0.147 eV/atom
**Mass density**: 10788 kg/m3
**Total DFT energy (no corrections)**: -6.422 eV/atom
**Total moment**: 0.00 μB per atom

---

9.
First-principles (PBE) data for SbRh after structural relaxation, as listed in Alexandria via LeMat-Bulk.

Cell: 3.2623 3.2623 12.0970 Å, 90.00 90.00 120.00°
Space group R-3m (No. 166, hexagonal axes)
Symmetry-distinct sites (fractional):
Sb1 0.0000 0.0000 0.0000 [3 per cell]
Rh1 0.0000 0.0000 0.5000 [3 per cell]

Calculated values
**Formation energy (no corrections)**: -0.189 eV/atom
**Mass density**: 10038 kg/m3
**Total DFT energy (no corrections)**: -5.926 eV/atom
**Total moment**: 0.00 μB per atom

---

10.
First-principles (PBE) data for SbRh3 after structural relaxation, as listed in Alexandria via LeMat-Bulk.

Cell: 3.0000 3.0000 25.2604 Å, 90.00 90.00 120.00°
Space group R-3m (No. 166, hexagonal axes)
Symmetry-distinct sites (fractional):
Sb1 0.0000 0.0000 0.0000 [3 per cell]
Rh1 0.0000 0.0000 0.2520 [6 per cell]
Rh2 0.0000 0.0000 0.5000 [3 per cell]

Calculated values
**Formation energy (no corrections)**: 0.185 eV/atom
**Mass density**: 10892 kg/m3
**Total DFT energy (no corrections)**: -6.359 eV/atom
**Total moment**: 0.37 μB per atom

---

11.
First-principles (PBE) data for SbRh after structural relaxation, as listed in Alexandria via LeMat-Bulk.

Cell: 7.230 7.230 7.230 Å, 90.00 90.00 90.00°
Space group Pm-3n (No. 223)
Symmetry-distinct sites (fractional):
Sb1 0.000 0.250 0.500 [6 per cell]
Rh1 0.000 0.500 0.250 [6 per cell]

Calculated values
**Formation energy (no corrections)**: 0.104 eV/atom
**Mass density**: 5922 kg/m3
**Total DFT energy (no corrections)**: -5.633 eV/atom
**Total moment**: 0.00 μB per atom

---

12.
First-principles (PBE) data for SbRh5 after structural relaxation, as listed in Alexandria via LeMat-Bulk.

Cell: 5.1093 5.1093 4.4637 Å, 90.00 90.00 120.00°
Space group P6/mmm (No. 191)
Symmetry-distinct sites (fractional):
Sb1 0.0000 0.0000 0.0000 [1 per cell]
Rh1 0.0000 0.5000 0.5000 [3 per cell]
Rh2 0.3333 0.6667 0.0000 [2 per cell]

Calculated values
**Formation energy (no corrections)**: 0.255 eV/atom
**Mass density**: 10470 kg/m3
**Total DFT energy (no corrections)**: -6.559 eV/atom
**Total moment**: 0.00 μB per atom

---

13.
First-principles (PBE) data for SbRh5 after structural relaxation, as listed in Alexandria via LeMat-Bulk.

Cell: 10.107 2.861 6.568 Å, 90.00 105.74 90.00°
Space group Cm (No. 8)
Symmetry-distinct sites (fractional):
Sb1 0.000 0.000 0.000 [2 per cell]
Rh1 0.112 0.500 0.725 [2 per cell]
Rh2 0.163 0.500 0.330 [2 per cell]
Rh3 0.284 0.000 0.058 [2 per cell]
Rh4 0.331 0.000 0.663 [2 per cell]
Rh5 0.445 0.500 0.404 [2 per cell]

Calculated values
**Formation energy (no corrections)**: 0.001 eV/atom
**Mass density**: 11559 kg/m3
**Total DFT energy (no corrections)**: -6.812 eV/atom
**Total moment**: 0.00 μB per atom

---

14.
First-principles (PBE) data for SbRh3 after structural relaxation, as listed in Alexandria via LeMat-Bulk.

Cell: 8.7197 8.7197 2.9477 Å, 90.00 90.00 120.00°
Space group R-3m (No. 166, hexagonal axes)
Symmetry-distinct sites (fractional):
Sb1 0.0000 0.0000 0.0000 [3 per cell]
Rh1 0.0000 0.5000 0.0000 [9 per cell]

Calculated values
**Formation energy (no corrections)**: 0.101 eV/atom
**Mass density**: 11048 kg/m3
**Total DFT energy (no corrections)**: -6.443 eV/atom
**Total moment**: 0.00 μB per atom

---

15.
First-principles (PBE) data for SbRh2 after structural relaxation, as listed in Alexandria via LeMat-Bulk.

Cell: 4.205 4.205 3.199 Å, 90.00 90.00 90.00°
Space group P4/mmm (No. 123)
Symmetry-distinct sites (fractional):
Sb1 0.000 0.000 0.000 [1 per cell]
Rh1 0.000 0.500 0.500 [2 per cell]

Calculated values
**Formation energy (no corrections)**: 0.013 eV/atom
**Mass density**: 9615 kg/m3
**Total DFT energy (no corrections)**: -6.262 eV/atom
**Total moment**: 0.00 μB per atom

---

16.
First-principles (PBE) data for Sb4Rh5 after structural relaxation, as listed in Alexandria via LeMat-Bulk.

Cell: 9.143 9.143 3.945 Å, 90.00 90.00 90.00°
Space group I4/mmm (No. 139)
Symmetry-distinct sites (fractional):
Sb1 0.000 0.293 0.000 [8 per cell]
Rh1 0.000 0.000 0.000 [2 per cell]
Rh2 0.163 0.163 0.500 [8 per cell]

Calculated values
**Formation energy (no corrections)**: -0.205 eV/atom
**Mass density**: 10086 kg/m3
**Total DFT energy (no corrections)**: -6.121 eV/atom
**Total moment**: 0.00 μB per atom

---

17.
First-principles (PBE) data for SbRh3 after structural relaxation, as listed in Alexandria via LeMat-Bulk.

Cell: 5.052 5.052 5.052 Å, 90.00 90.00 90.00°
Space group Pm-3n (No. 223)
Symmetry-distinct sites (fractional):
Sb1 0.000 0.000 0.000 [2 per cell]
Rh1 0.000 0.250 0.500 [6 per cell]

Calculated values
**Formation energy (no corrections)**: 0.096 eV/atom
**Mass density**: 11090 kg/m3
**Total DFT energy (no corrections)**: -6.448 eV/atom
**Total moment**: 0.00 μB per atom

---

18.
First-principles (PBE) data for SbRh after structural relaxation, as listed in Alexandria via LeMat-Bulk.

Cell: 7.586 8.804 12.655 Å, 90.00 90.00 90.00°
Space group Fddd (No. 70, origin choice 2)
Symmetry-distinct sites (fractional):
Sb1 0.125 0.368 0.125 [16 per cell]
Rh1 0.125 0.125 0.008 [16 per cell]

Calculated values
**Formation energy (no corrections)**: -0.141 eV/atom
**Mass density**: 7063 kg/m3
**Total DFT energy (no corrections)**: -5.878 eV/atom
**Total moment**: 0.00 μB per atom

---

19.
First-principles (PBE) data for ScSb3Rh after structural relaxation, as listed in Alexandria via LeMat-Bulk.

Cell: 5.334 5.334 5.334 Å, 90.00 90.00 90.00°
Space group Pm-3m (No. 221)
Symmetry-distinct sites (fractional):
Sc1 0.000 0.000 0.000 [1 per cell]
Sb1 0.000 0.000 0.500 [3 per cell]
Rh1 0.500 0.500 0.500 [1 per cell]

Calculated values
**Formation energy (no corrections)**: 0.739 eV/atom
**Mass density**: 5614 kg/m3
**Total DFT energy (no corrections)**: -4.471 eV/atom
**Offset from the most stable computed form**: 274 kJ/mol of formula units
**Total moment**: 0.00 μB per atom

---

20.
First-principles (PBE) data for ScSbRh3 after structural relaxation, as listed in Alexandria via LeMat-Bulk.

Cell: 4.668 4.668 4.668 Å, 90.00 90.00 90.00°
Space group Pm-3m (No. 221)
Symmetry-distinct sites (fractional):
Sc1 0.000 0.000 0.000 [1 per cell]
Sb1 0.500 0.500 0.500 [1 per cell]
Rh1 0.000 0.000 0.500 [3 per cell]

Calculated values
**Formation energy (no corrections)**: 0.584 eV/atom
**Mass density**: 7760 kg/m3
**Total DFT energy (no corrections)**: -5.917 eV/atom
**Offset from the most stable computed form**: 523 kJ/mol of formula units
**Total moment**: 0.00 μB per atom